Record 1
A relaxed Mg3Bi2Rh crystal. Source: Alexandria via LeMat-Bulk, functional PBE.

Computed properties:
Size of the total moment ... 0.00 μB per cell
Space group ... Cmcm (63)
ΔE_f ... -125 meV/atom
Calculated volume ... 24.00 Å³/atom

Cell: 5.513 7.460 7.525 Å, 90.00 111.49 90.00°
Fractional positions:
Bi1 0.866 0.000 0.733
Mg1 0.382 0.250 0.640
Rh1 0.196 0.750 0.000
Mg2 0.684 0.750 0.000
Mg3 0.258 0.750 0.640
Mg4 0.316 0.250 0.000
Bi2 0.866 0.500 0.733
Bi3 0.134 0.500 0.267
Mg5 0.618 0.750 0.360
Mg6 0.742 0.250 0.360
Rh2 0.804 0.250 0.000
Bi4 0.134 0.000 0.267

Record 2
A relaxed MgOs crystal. Source: Alexandria via LeMat-Bulk, functional PBE.

Computed properties:
Size of the total moment ... 0.00 μB per cell
Space group ... Cm (8)
ΔE_f ... 192 meV/atom
Calculated volume ... 16.27 Å³/atom

Cell: 5.354 5.354 7.060 Å, 74.86 74.86 30.07°
Fractional positions:
Mg1 0.303 0.303 0.351
Mg2 0.292 0.292 0.953
Os1 0.591 0.591 0.254
Os2 0.666 0.666 0.698
Mg3 0.962 0.962 0.590
Os3 0.020 0.020 0.989